Ba2Tm2CuPtO8 (meta-GGA SCAN, single point on PBEsol structure); total magnetic moment = 4.20 μB per cell; formation energy from raw total energies = -253.2 kJ/mol of atoms; space-group type = No. 62
1.0
-1.060 -0.978 -5.424
-1.814 -9.831 2.128
-12.603 2.752 1.968
Ba Tm Cu Pt O
8 8 4 4 32
Cartesian
-6.342 -3.093 0.346
-9.136 -4.964 -1.674
-3.409 -9.452 -1.984
-12.069 1.394 0.656
-4.114 -6.432 0.513
-11.364 -1.625 -1.841
-4.834 -1.766 -3.092
-10.644 -6.291 1.764
-5.545 0.770 -0.507
-9.933 -8.827 -0.821
-2.774 -5.553 -2.812
-12.704 -2.504 1.484
-2.618 -2.948 -0.408
-12.860 -5.109 -0.920
-6.793 -7.755 -1.629
-8.685 -0.303 0.301
-7.397 -6.199 1.113
-8.080 -1.858 -2.441
-1.723 -2.930 -3.490
-13.755 -5.127 2.162
-2.776 -0.046 -0.901
-12.702 -8.011 -0.427
-5.618 -5.144 -2.329
-9.860 -2.913 1.001
-4.351 -1.266 -0.373
-11.127 -6.792 -0.955
-4.597 -6.930 -2.207
-10.881 -1.127 0.879
-4.063 -4.267 -1.392
-11.415 -3.791 0.064
-5.816 -8.976 -0.095
-10.904 -3.319 2.678
-9.662 0.918 -1.233
-4.574 -4.738 -4.006
-10.173 0.447 -3.847
-5.305 -8.504 2.519
-1.706 -1.095 0.478
-13.772 -6.962 -1.806
-7.080 -6.223 -3.248
-13.261 -6.491 0.807
-8.398 -1.834 1.920
-2.217 -1.567 -2.135
-8.909 -2.306 -0.693
-6.569 -5.752 -0.634
-1.296 -4.068 -1.946
-14.182 -3.989 0.618
-8.300 -7.640 0.126
-13.662 -3.510 3.275
-7.178 -0.417 -1.454
-1.816 -4.547 -4.603
-7.697 -0.897 -4.112
-7.780 -7.160 2.784
-8.757 -4.590 1.088
-6.721 -3.467 -2.416
-12.501 0.736 -2.044
-2.977 -8.793 0.717